Entry from Alexandria: a relaxed structure of MgGa2Ag2 (GGA-PBE).

Its total energy is -2.71 eV/atom. For the energy above the most stable polymorph in this dataset, the calculation gives 0.030 eV/atom. The total moment is 0.0 Bohr magnetons per cell. The energy of formation from the pure elements comes out at -4 kJ per mole of atoms.

The structure belongs to space group R-3m (No. 166, hexagonal axes); the cell edges are 4.6996, 4.6996 and 14.3778 Å and the angles 90.00°, 90.00° and 120.00°. The inequivalent atoms are Mg at (0.0000, 0.0000, 0.0000), Ga at (0.0000, 0.0000, 0.4062) and Ag at (0.0000, 0.0000, 0.2067).